(1)
Compound: YAl2Ir2
Source: Alexandria
Functional: GGA-PBE
Structure: optimized geometry

Properties
* VASP energy: -7.21 eV/atom
* E above lowest polymorph: 28.2 meV/atom
* formation enthalpy at 0 K: -0.874 eV/atom
* total moment: 0.0 μB per formula unit

a = 3.9405 Å, b = 3.9405 Å, c = 6.4692 Å
α = 72.27°, β = 72.27°, γ = 90.00°
Closest atoms and distances in Å follow each position.
Sites, in units of the cell vectors:
Ir (0.6141, 0.6141, 0.7719)  4 Al 2.53, 1 Ir 2.66
Y (0.0000, 0.0000, 0.0000)  8 Ir 3.09
Ir (0.3859, 0.3859, 0.2281)  4 Al 2.53, 1 Ir 2.66
Al (0.2500, 0.7500, 0.5000)  4 Ir 2.53, 4 Al 2.79
Al (0.7500, 0.2500, 0.5000)  4 Ir 2.53, 4 Al 2.79

***

(2)
Compound: CdFe4Pt5
Source: Alexandria
Functional: GGA-PBE
Structure: optimized geometry

Properties
* VASP energy: -6.74 eV/atom
* formation enthalpy at 0 K: -0.245 eV/atom
* total moment: 13.4 μB per formula unit

a = 2.7845 Å, b = 2.7845 Å, c = 18.9845 Å
α = 90.00°, β = 90.00°, γ = 90.00°
Closest atoms and distances in Å follow each position.
Sites, in units of the cell vectors:
Pt (0.5000, 0.5000, 0.8852)  4 Fe 2.66, 4 Pt 2.78, 4 Cd 2.94
Pt (0.5000, 0.5000, 0.6940)  8 Fe 2.70, 4 Pt 2.78
Pt (0.5000, 0.5000, 0.3060)  8 Fe 2.70, 4 Pt 2.78
Fe (0.0000, 0.0000, 0.7910)  8 Pt 2.66-2.70, 4 Fe 2.78
Pt (0.5000, 0.5000, 0.5000)  8 Fe 2.70, 4 Pt 2.78
Fe (0.0000, 0.0000, 0.2090)  8 Pt 2.66-2.70, 4 Fe 2.78
Pt (0.5000, 0.5000, 0.1148)  4 Fe 2.66, 4 Pt 2.78, 4 Cd 2.94
Fe (0.0000, 0.0000, 0.5970)  8 Pt 2.70, 4 Fe 2.78
Cd (0.0000, 0.0000, 0.0000)  4 Cd 2.78, 8 Pt 2.94
Fe (0.0000, 0.0000, 0.4030)  8 Pt 2.70, 4 Fe 2.78

***

(3)
Compound: KNaN2O
Source: Alexandria
Functional: GGA-PBE
Structure: optimized geometry

Properties
* VASP energy: -3.53 eV/atom
* total moment: 6.0 μB per formula unit
* formation energy from raw total energies: 6.399 eV per formula unit

a = 4.7213 Å, b = 4.7213 Å, c = 4.4449 Å
α = 90.00°, β = 90.00°, γ = 90.00°
Closest atoms and distances in Å follow each position.
Sites, in units of the cell vectors:
O (0.0000, 0.0000, 0.5000)  2 Na 2.22
N (0.0000, 0.5000, 0.0000)  2 Na 2.36
K (0.5000, 0.5000, 0.5000)  8 N 3.24, 4 O 3.34
Na (0.0000, 0.0000, 0.0000)  2 O 2.22, 4 N 2.36
N (0.5000, 0.0000, 0.0000)  2 Na 2.36

***

(4)
Compound: Cs2Mg2Au
Source: Alexandria
Functional: GGA-PBE
Structure: optimized geometry

Properties
* VASP energy: -1.58 eV/atom
* E above lowest polymorph: 0.0 meV/atom
* formation enthalpy at 0 K: 0.053 eV/atom
* total moment: 0.0 μB per formula unit

a = 7.5885 Å, b = 7.5885 Å, c = 6.6197 Å
α = 90.00°, β = 90.00°, γ = 90.00°
Closest atoms and distances in Å follow each position.
Sites, in units of the cell vectors:
Cs (0.6818, 0.8182, 0.5000)  2 Mg 3.72, 5 Cs 3.90-3.93
Mg (0.8407, 0.6593, 0.0000)  2 Au 2.85
Cs (0.8182, 0.3182, 0.5000)  2 Mg 3.72, 5 Cs 3.90-3.93
Au (0.5000, 0.5000, 0.0000)  4 Mg 2.85
Mg (0.3407, 0.8407, 0.0000)  2 Au 2.85
Au (0.0000, 0.0000, 0.0000)  4 Mg 2.85
Cs (0.1818, 0.6818, 0.5000)  2 Mg 3.72, 5 Cs 3.90-3.93
Mg (0.6593, 0.1593, 0.0000)  2 Au 2.85
Mg (0.1593, 0.3407, 0.0000)  2 Au 2.85
Cs (0.3182, 0.1818, 0.5000)  2 Mg 3.72, 5 Cs 3.90-3.93

***

(5)
Compound: Sb2PbN
Source: Alexandria
Functional: GGA-PBE
Structure: optimized geometry

Properties
* VASP energy: -3.81 eV/atom
* E above lowest polymorph: 977.3 meV/atom
* total moment: 0.0 μB per formula unit
* formation energy from raw total energies: 5.029 eV per formula unit

a = 5.0541 Å, b = 5.0541 Å, c = 5.0541 Å
α = 60.00°, β = 60.00°, γ = 60.00°
Closest atoms and distances in Å follow each position.
Sites, in units of the cell vectors:
N (0.0000, 0.0000, 0.0000)  8 Sb 3.10
Pb (0.5000, 0.5000, 0.5000)  8 Sb 3.10
Sb (0.2500, 0.2500, 0.2500)  4 Pb 3.10, 4 N 3.10
Sb (0.7500, 0.7500, 0.7500)  4 Pb 3.10, 4 N 3.10

***

(6)
Compound: Y2ErZr
Source: Alexandria
Functional: GGA-PBE
Structure: optimized geometry

Properties
* VASP energy: -6.42 eV/atom
* E above lowest polymorph: 17.3 meV/atom
* formation enthalpy at 0 K: 0.093 eV/atom
* total moment: 0.0 μB per formula unit

a = 3.4445 Å, b = 3.4445 Å, c = 11.4814 Å
α = 81.37°, β = 81.37°, γ = 60.00°
Closest atoms and distances in Å follow each position.
Sites, in units of the cell vectors:
Y (0.2545, 0.2545, 0.2364)  3 Zr 3.33, 6 Y 3.44, 3 Er 3.58
Er (0.5000, 0.5000, 0.5000)  6 Er 3.44, 6 Y 3.58
Zr (0.0000, 0.0000, 0.0000)  6 Y 3.33, 6 Zr 3.44
Y (0.7455, 0.7455, 0.7636)  3 Zr 3.33, 6 Y 3.44, 3 Er 3.58

***

(7)
Compound: Re2Si2Ag
Source: Alexandria
Functional: GGA-PBE
Structure: optimized geometry

Properties
* VASP energy: -7.62 eV/atom
* total moment: 0.0 μB per formula unit
* formation energy from raw total energies: 0.477 eV per formula unit

a = 7.2410 Å, b = 7.2410 Å, c = 2.8064 Å
α = 90.00°, β = 90.00°, γ = 90.00°
Closest atoms and distances in Å follow each position.
Sites, in units of the cell vectors:
Re (0.1492, 0.6492, 0.5000)  6 Si 2.54-2.55, 2 Re 2.81
Re (0.8508, 0.3508, 0.5000)  6 Si 2.54-2.55, 2 Re 2.81
Re (0.3508, 0.1492, 0.5000)  6 Si 2.54-2.55, 2 Re 2.81
Si (0.8555, 0.6445, 0.0000)  6 Re 2.54-2.55, 2 Ag 2.78, 2 Si 2.81
Si (0.3555, 0.8555, 0.0000)  6 Re 2.54-2.55, 2 Ag 2.78, 2 Si 2.81
Ag (0.5000, 0.5000, 0.0000)  4 Si 2.78, 2 Ag 2.81, 8 Re 3.10
Si (0.6445, 0.1445, 0.0000)  6 Re 2.54-2.55, 2 Ag 2.78, 2 Si 2.81
Si (0.1445, 0.3555, 0.0000)  6 Re 2.54-2.55, 2 Ag 2.78, 2 Si 2.81
Re (0.6492, 0.8508, 0.5000)  6 Si 2.54-2.55, 2 Re 2.81
Ag (0.0000, 0.0000, 0.0000)  4 Si 2.78, 2 Ag 2.81, 8 Re 3.10

***

(8)
Compound: Ce2PuTaN4
Source: Alexandria
Functional: GGA-PBE
Structure: optimized geometry

Properties
* VASP energy: -10.30 eV/atom
* total moment: 4.6 μB per formula unit
* formation energy from raw total energies: -11.040 eV per formula unit

a = 3.3585 Å, b = 5.8623 Å, c = 5.9835 Å
α = 108.40°, β = 90.00°, γ = 90.00°
Closest atoms and distances in Å follow each position.
Sites, in units of the cell vectors:
Ce (0.5000, 0.0000, 0.5000)  6 N 2.45-2.47
Pu (0.5000, 0.5000, 0.0000)  6 N 2.37
Ta (0.0000, 0.0000, 0.0000)  6 N 2.20-2.25
Ce (0.0000, 0.5000, 0.5000)  6 N 2.59-2.61
N (0.5000, 0.2196, 0.2126)  2 Ta 2.25, 1 Pu 2.37, 1 Ce 2.45
N (0.0000, 0.2376, 0.7803)  1 Ta 2.20, 2 Pu 2.37
N (0.5000, 0.7804, 0.7874)  2 Ta 2.25, 1 Pu 2.37, 1 Ce 2.45
N (0.0000, 0.7624, 0.2197)  1 Ta 2.20, 2 Pu 2.37